{"formula": "Ac3LaPt2", "functional": "PBE", "state": "optimized geometry", "lattice": [[-1.487, -0.384, 9.390], [2.899, -0.808, 9.026], [1.720, 10.516, 8.474]], "species": ["Pt", "Pt", "Pt", "Pt", "Ac", "Ac", "Ac", "Ac", "Ac", "Ac", "La", "La"], "frac_coords": [[0.124, 0.124, 0.133], [0.376, 0.376, 0.377], [0.624, 0.624, 0.623], [0.876, 0.876, 0.867], [0.314, 0.314, 0.055], [0.812, 0.812, 0.562], [0.939, 0.939, 0.193], [0.061, 0.061, 0.807], [0.188, 0.188, 0.438], [0.686, 0.686, 0.945], [0.441, 0.441, 0.691], [0.559, 0.559, 0.309]], "final_energy_ev_per_atom": -5.692, "formation_enthalpy_0k_ev_per_fu": -4.8}

{"formula": "Ac2LaPt", "functional": "PBE", "state": "optimized geometry", "lattice": [[-1.065, 0.787, -6.861], [7.405, -1.099, -1.275], [-1.717, -10.486, -0.937]], "species": ["Pt", "Pt", "Pt", "Pt", "La", "La", "La", "La", "Ac", "Ac", "Ac", "Ac", "Ac", "Ac", "Ac", "Ac"], "frac_coords": [[0.554, 0.126, 0.750], [0.446, 0.874, 0.250], [0.946, 0.626, 0.750], [0.054, 0.374, 0.250], [0.157, 0.965, 0.750], [0.843, 0.035, 0.250], [0.343, 0.465, 0.750], [0.657, 0.535, 0.250], [0.829, 0.323, 0.934], [0.329, 0.177, 0.066], [0.329, 0.177, 0.434], [0.829, 0.323, 0.566], [0.671, 0.823, 0.934], [0.171, 0.677, 0.066], [0.671, 0.823, 0.566], [0.171, 0.677, 0.434]], "final_energy_ev_per_atom": -5.422, "polymorph_energy_ev_per_atom": 0.000, "formation_enthalpy_0k_ev_per_fu": -2.5}

{"formula": "AcLa3Pt", "functional": "PBE", "state": "optimized geometry", "lattice": [[-1.803, -3.921, 3.895], [5.475, -0.705, 1.824], [-0.758, 4.234, 3.912]], "species": ["Pt", "La", "La", "La", "Ac"], "frac_coords": [[0.000, 0.000, 0.000], [0.000, 0.500, 0.000], [0.500, 0.000, 0.000], [0.000, 0.000, 0.500], [0.500, 0.500, 0.500]], "final_energy_ev_per_atom": -5.350, "polymorph_energy_ev_per_atom": 0.044, "formation_enthalpy_0k_ev_per_fu": -1.8}

{"formula": "Ac8LaPt6", "functional": "PBE", "state": "optimized geometry", "lattice": [[-4.966, 5.022, 2.952], [-6.104, 2.189, -4.068], [-9.218, -5.454, 3.694]], "species": ["Pt", "Pt", "Pt", "Pt", "Pt", "Pt", "Ac", "Ac", "Ac", "Ac", "Ac", "Ac", "Ac", "Ac", "La"], "frac_coords": [[0.942, 0.613, 0.173], [0.613, 0.271, 0.173], [0.271, 0.942, 0.173], [0.729, 0.058, 0.827], [0.387, 0.729, 0.827], [0.058, 0.387, 0.827], [0.557, 0.892, 0.325], [0.443, 0.108, 0.675], [0.333, 0.333, 0.000], [0.108, 0.774, 0.675], [0.774, 0.443, 0.675], [0.226, 0.557, 0.325], [0.892, 0.226, 0.325], [0.667, 0.667, 0.000], [0.000, 0.000, 0.000]], "final_energy_ev_per_atom": -5.893, "formation_enthalpy_0k_ev_per_fu": -14.4}

{"formula": "AcLa3Pt2", "functional": "PBE", "state": "optimized geometry", "lattice": [[-2.482, 2.676, -6.214], [-4.781, -4.241, 4.263], [-0.228, 7.429, 3.290]], "species": ["La", "La", "La", "La", "La", "La", "Pt", "Pt", "Pt", "Pt", "Ac", "Ac"], "frac_coords": [[0.219, 0.437, 0.109], [0.218, 0.437, 0.609], [0.782, 0.563, 0.391], [0.265, 0.000, 0.750], [0.735, 0.000, 0.250], [0.781, 0.563, 0.891], [0.373, 0.748, 0.937], [0.627, 0.252, 0.063], [0.624, 0.252, 0.563], [0.376, 0.748, 0.437], [0.247, 0.000, 0.250], [0.753, 0.000, 0.750]], "final_energy_ev_per_atom": -5.931, "formation_enthalpy_0k_ev_per_fu": -4.6}

{"formula": "Ac3LaPt3", "functional": "PBE", "state": "optimized geometry", "lattice": [[6.168, 0.000, 0.000], [0.000, 12.282, 0.000], [0.000, 0.000, 12.281]], "species": ["Ac", "Ac", "Ac", "Ac", "Ac", "Ac", "Ac", "Ac", "Ac", "Ac", "Ac", "Ac", "Pt", "Pt", "Pt", "Pt", "Pt", "Pt", "Pt", "Pt", "Pt", "Pt", "Pt", "Pt", "La", "La", "La", "La"], "frac_coords": [[0.000, 0.628, 0.628], [0.500, 0.871, 0.619], [0.500, 0.872, 0.128], [0.500, 0.129, 0.381], [0.000, 0.119, 0.629], [0.000, 0.371, 0.881], [0.500, 0.381, 0.129], [0.500, 0.128, 0.872], [0.000, 0.372, 0.372], [0.500, 0.619, 0.871], [0.000, 0.881, 0.371], [0.000, 0.629, 0.119], [0.500, 0.627, 0.130], [0.000, 0.884, 0.116], [0.000, 0.630, 0.873], [0.500, 0.616, 0.616], [0.500, 0.130, 0.627], [0.000, 0.873, 0.630], [0.000, 0.116, 0.884], [0.000, 0.370, 0.127], [0.500, 0.870, 0.373], [0.500, 0.384, 0.384], [0.500, 0.373, 0.870], [0.000, 0.127, 0.370], [0.000, 0.126, 0.126], [0.000, 0.874, 0.874], [0.500, 0.626, 0.374], [0.500, 0.374, 0.626]], "final_energy_ev_per_atom": -6.092, "formation_enthalpy_0k_ev_per_fu": -7.3}

{"formula": "AcLaPt2", "functional": "PBE", "state": "optimized geometry", "lattice": [[4.070, 0.000, -0.021], [0.000, 4.615, 0.000], [-1.990, 0.000, 5.705]], "species": ["Pt", "Pt", "Ac", "La"], "frac_coords": [[0.990, 0.000, 0.519], [0.174, 0.500, 0.886], [0.719, 0.000, 0.975], [0.448, 0.500, 0.437]], "final_energy_ev_per_atom": -6.451, "polymorph_energy_ev_per_atom": 0.005, "formation_enthalpy_0k_ev_per_fu": -4.7}

{"formula": "AcLaPt2", "functional": "PBE", "state": "optimized geometry", "lattice": [[-1.914, 0.298, 3.780], [-3.043, -2.765, 1.063], [3.447, -5.306, 4.549]], "species": ["Ac", "Pt", "Pt", "La"], "frac_coords": [[0.497, 0.497, 0.508], [0.080, 0.080, 0.760], [0.253, 0.253, 0.242], [0.670, 0.670, 0.990]], "final_energy_ev_per_atom": -6.357, "polymorph_energy_ev_per_atom": 0.099, "formation_enthalpy_0k_ev_per_fu": -4.3}

{"formula": "Ac2LaPt", "functional": "PBE", "state": "optimized geometry", "lattice": [[-3.410, -1.466, -2.035], [0.466, -2.552, -3.346], [-1.165, -9.211, 4.185]], "species": ["Pt", "Ac", "Ac", "La"], "frac_coords": [[0.666, 0.666, 0.001], [0.273, 0.273, 0.181], [0.060, 0.060, 0.819], [0.500, 0.500, 0.499]], "final_energy_ev_per_atom": -5.306, "polymorph_energy_ev_per_atom": 0.117, "formation_enthalpy_0k_ev_per_fu": -2.0}

{"formula": "AcLa3Pt", "functional": "PBE", "state": "optimized geometry", "lattice": [[6.571, 0.000, 0.000], [0.001, 7.029, -0.001], [0.000, 0.001, 8.147]], "species": ["Ac", "Ac", "Pt", "Pt", "La", "La", "La", "La", "La", "La"], "frac_coords": [[0.437, 0.330, 0.701], [0.936, 0.023, 0.201], [0.173, 0.691, 0.701], [0.673, 0.661, 0.201], [0.429, 0.857, 0.448], [0.429, 0.857, 0.953], [0.910, 0.028, 0.701], [0.410, 0.325, 0.201], [0.929, 0.496, 0.454], [0.929, 0.496, 0.948]], "final_energy_ev_per_atom": -5.394, "polymorph_energy_ev_per_atom": 0.000, "formation_enthalpy_0k_ev_per_fu": -2.0}

{"formula": "Ac6LaPt3", "functional": "PBE", "state": "optimized geometry", "lattice": [[7.802, 0.000, 0.000], [0.000, 9.384, -1.691], [0.000, 0.195, 9.533]], "species": ["Ac", "Ac", "Ac", "Ac", "Ac", "Ac", "Ac", "Ac", "Ac", "Ac", "Ac", "Ac", "Pt", "Pt", "Pt", "Pt", "Pt", "Pt", "La", "La"], "frac_coords": [[0.508, 0.227, 0.773], [0.170, 0.705, 0.626], [0.816, 0.429, 0.030], [0.316, 0.571, 0.970], [0.170, 0.374, 0.295], [0.670, 0.295, 0.374], [0.665, 0.966, 0.034], [0.670, 0.626, 0.705], [0.008, 0.773, 0.227], [0.816, 0.970, 0.571], [0.165, 0.034, 0.966], [0.316, 0.030, 0.429], [0.468, 0.907, 0.716], [0.968, 0.716, 0.907], [0.968, 0.093, 0.284], [0.468, 0.284, 0.093], [0.865, 0.580, 0.420], [0.365, 0.420, 0.580], [0.040, 0.324, 0.676], [0.540, 0.676, 0.324]], "final_energy_ev_per_atom": -5.443, "formation_enthalpy_0k_ev_per_fu": -6.7}

{"formula": "Ac4LaPt4", "functional": "PBE", "state": "optimized geometry", "lattice": [[-3.832, -2.087, 0.544], [-0.859, -4.604, -5.934], [2.719, -8.778, 3.247]], "species": ["Pt", "Pt", "Pt", "Pt", "Ac", "Ac", "Ac", "Ac", "La"], "frac_coords": [[0.906, 0.291, 0.897], [0.296, 0.110, 0.298], [0.094, 0.709, 0.103], [0.704, 0.890, 0.702], [0.110, 0.174, 0.607], [0.702, 0.406, 0.189], [0.298, 0.594, 0.811], [0.890, 0.826, 0.393], [0.500, 0.000, 0.000]], "final_energy_ev_per_atom": -6.137, "formation_enthalpy_0k_ev_per_fu": -9.7}